No. 1
Computed, not measured: a crystal of Al7Ag relaxed with PBEsol at the SCAN level of DFT.

abc: 4.9372 4.9372 6.3494
angles: 104.92 104.92 109.75
Closest atoms and distances in Å follow each position.
Element x y z (fractional)
Al  0.3741  0.8741  0.7482  10 Al 2.82-2.86, 2 Ag 2.85
Al  0.7489  0.7489  0.4978  11 Al 2.83-2.85, 1 Ag 2.85
Al  0.1259  0.6259  0.2518  10 Al 2.82-2.86, 2 Ag 2.85
Al  0.5000  0.5000  0.0000  10 Al 2.83-2.85, 2 Ag 2.84
Al  0.8741  0.3741  0.7482  10 Al 2.82-2.86, 2 Ag 2.85
Al  0.2511  0.2511  0.5022  11 Al 2.83-2.85, 1 Ag 2.85
Al  0.6259  0.1259  0.2518  10 Al 2.82-2.86, 2 Ag 2.85
Ag  0.0000  0.0000  0.0000  12 Al 2.84-2.85

Calculated values
- VASP energy (eV per cell) = -85.66
- DFT formation energy (eV/atom) = 0.00
- calculated density (g cm⁻³) = 3.8
- excess energy over the best structure of this formula in the dataset (eV/atom) = 0.027
- space-group type = Fmmm

***

No. 2
Computed, not measured: a crystal of CdNiAu2 relaxed with PBEsol at the SCAN level of DFT.

abc: 4.0251 4.0251 4.8319
angles: 114.61 114.61 90.00
Closest atoms and distances in Å follow each position.
Element x y z (fractional)
Ni  0.0000  0.0000  0.0000  8 Au 2.80, 4 Cd 2.85
Au  0.7500  0.2500  0.5000  4 Cd 2.80, 4 Ni 2.80, 4 Au 2.85
Au  0.2500  0.7500  0.5000  4 Cd 2.80, 4 Ni 2.80, 4 Au 2.85
Cd  0.5000  0.5000  0.0000  8 Au 2.80, 4 Ni 2.85

Calculated values
- VASP energy (eV per cell) = -185.01
- DFT formation energy (eV/atom) = -0.03
- calculated density (g cm⁻³) = 14.8
- space-group type = I4/mmm

***

No. 3
Computed, not measured: a crystal of CaZrAs2Se relaxed with PBEsol at the SCAN level of DFT.

abc: 5.1091 5.1091 5.1782
angles: 90.00 90.00 90.00
Closest atoms and distances in Å follow each position.
Element x y z (fractional)
As  0.0000  0.5000  0.0000  2 Zr 2.55
As  0.5000  0.0000  0.0000  2 Zr 2.55
Ca  0.5000  0.5000  0.5000  4 Se 3.61, 8 As 3.64
Se  0.0000  0.0000  0.5000  2 Zr 2.59
Zr  0.0000  0.0000  0.0000  4 As 2.55, 2 Se 2.59

Calculated values
- VASP energy (eV per cell) = -104.46
- calculated density (g cm⁻³) = 4.4
- excess energy over the best structure of this formula in the dataset (eV/atom) = 0.000
- space-group type = P4/mmm

***

No. 4
Computed, not measured: a crystal of Pt2RhW relaxed with PBEsol at the SCAN level of DFT.

abc: 2.7289 3.9537 5.4128
angles: 90.00 90.00 90.00
Closest atoms and distances in Å follow each position.
Element x y z (fractional)
Rh  0.5000  0.5000  0.0000  2 W 2.71, 2 Rh 2.73, 8 Pt 2.76
W  0.5000  0.5000  0.5000  2 Rh 2.71, 2 W 2.73, 8 Pt 2.75
Pt  0.0000  0.0000  0.7473  4 Pt 2.68-2.74, 4 W 2.75, 4 Rh 2.76
Pt  0.0000  0.0000  0.2527  4 Pt 2.68-2.74, 4 W 2.75, 4 Rh 2.76

Calculated values
- VASP energy (eV per cell) = -244.85
- DFT formation energy (eV/atom) = -0.25
- calculated density (g cm⁻³) = 19.2
- excess energy over the best structure of this formula in the dataset (eV/atom) = 0.050
- space-group type = Pmmm

***

No. 5
Computed, not measured: a crystal of CrN2O2 relaxed with PBEsol at the SCAN level of DFT.

abc: 3.6403 3.6711 3.6711
angles: 90.00 90.00 90.00
Closest atoms and distances in Å follow each position.
Element x y z (fractional)
Cr  0.0000  0.0000  0.0000  2 O 1.82, 4 N 1.84
O  0.5000  0.5000  0.5000  8 N 2.58, 4 O 2.60
O  0.5000  0.0000  0.0000  2 Cr 1.82
N  0.0000  0.0000  0.5000  2 Cr 1.84
N  0.0000  0.5000  0.0000  2 Cr 1.84

Calculated values
- VASP energy (eV per cell) = -45.70
- calculated density (g cm⁻³) = 3.8
- excess energy over the best structure of this formula in the dataset (eV/atom) = 0.000
- space-group type = P4/mmm

***

No. 6
Computed, not measured: a crystal of SiSbIN2 relaxed with PBEsol at the SCAN level of DFT.

abc: 3.9506 3.9506 5.1367
angles: 90.00 90.00 90.00
Closest atoms and distances in Å follow each position.
Element x y z (fractional)
I  0.0000  0.0000  0.5000  2 Si 2.57, 4 Sb 2.79
Sb  0.5000  0.5000  0.5000  4 I 2.79
Si  0.0000  0.0000  0.0000  4 N 1.98
N  0.0000  0.5000  0.0000  2 Si 1.98
N  0.5000  0.0000  0.0000  2 Si 1.98

Calculated values
- VASP energy (eV per cell) = -96.21
- calculated density (g cm⁻³) = 6.3
- space-group type = P4/mmm

***

No. 7
Computed, not measured: a crystal of Cs2HgS relaxed with PBEsol at the SCAN level of DFT.

abc: 5.8309 5.8309 5.8309
angles: 60.00 60.00 60.00
Closest atoms and distances in Å follow each position.
Element x y z (fractional)
Cs  0.2500  0.2500  0.2500  4 Hg 3.57, 4 S 3.57
Cs  0.7500  0.7500  0.7500  4 Hg 3.57, 4 S 3.57
S  0.0000  0.0000  0.0000  8 Cs 3.57
Hg  0.5000  0.5000  0.5000  8 Cs 3.57

Calculated values
- VASP energy (eV per cell) = -156.89
- calculated density (g cm⁻³) = 5.9
- space-group type = Fm-3m

***

No. 8
Computed, not measured: a crystal of LaS2O relaxed with PBEsol at the SCAN level of DFT.

abc: 3.3347 3.3347 8.2088
angles: 78.28 78.28 60.00
Closest atoms and distances in Å follow each position.
Element x y z (fractional)
S  0.8875  0.8875  0.3375  3 O 2.32
S  0.1125  0.1125  0.6625  3 O 2.32
O  0.5000  0.5000  0.5000  6 S 2.32
La  0.0000  0.0000  0.0000  2 S 2.69

Calculated values
- VASP energy (eV per cell) = -65.76
- calculated density (g cm⁻³) = 4.7
- space-group type = R-3m

***

No. 9
Computed, not measured: a crystal of GaPb3 relaxed with PBEsol at the SCAN level of DFT.

abc: 4.9109 4.9109 5.6996
angles: 115.52 115.52 90.00
Closest atoms and distances in Å follow each position.
Element x y z (fractional)
Pb  0.2500  0.7500  0.5000  4 Ga 3.34, 8 Pb 3.34-3.47
Pb  0.7500  0.2500  0.5000  8 Pb 3.34-3.47, 4 Ga 3.34
Pb  0.5000  0.5000  0.0000  8 Pb 3.34, 4 Ga 3.47
Ga  0.0000  0.0000  0.0000  12 Pb 3.34-3.47

Calculated values
- VASP energy (eV per cell) = -243.28
- DFT formation energy (eV/atom) = 0.10
- calculated density (g cm⁻³) = 10.5
- excess energy over the best structure of this formula in the dataset (eV/atom) = 0.000
- space-group type = I4/mmm

***

No. 10
Computed, not measured: a crystal of Sm4FeSn8 relaxed with PBEsol at the SCAN level of DFT.

abc: 4.4005 4.4712 16.4027
angles: 90.00 90.00 90.00
Closest atoms and distances in Å follow each position.
Element x y z (fractional)
Sm  0.0000  0.0000  0.0958  10 Sn 3.19-3.47, 1 Fe 3.42
Sm  0.0000  0.5000  0.6035  10 Sn 3.17-3.32
Sm  0.5000  0.5000  0.3958  8 Sn 3.28-3.44, 4 Fe 3.48
Sm  0.5000  0.0000  0.9010  10 Sn 3.18-3.45
Fe  0.0000  0.0000  0.3041  5 Sn 2.46-2.48
Sn  0.0000  0.0000  0.4538  1 Fe 2.46
Sn  0.0000  0.5000  0.9342  2 Sn 3.03, 4 Sm 3.18
Sn  0.5000  0.5000  0.0610  2 Sn 3.03, 4 Sm 3.19
Sn  0.5000  0.0000  0.5737  2 Sn 2.95, 4 Sm 3.17
Sn  0.0000  0.5000  0.2384  2 Fe 2.48
Sn  0.0000  0.0000  0.7522  4 Sn 3.14, 4 Sm 3.29-3.31
Sn  0.5000  0.0000  0.2364  2 Fe 2.46
Sn  0.5000  0.5000  0.7533  4 Sn 3.14, 4 Sm 3.30

Calculated values
- VASP energy (eV per cell) = -491.36
- DFT formation energy (eV/atom) = -0.62
- calculated density (g cm⁻³) = 8.3
- space-group type = Pmm2

***

No. 11
Computed, not measured: a crystal of KTcW2 relaxed with PBEsol at the SCAN level of DFT.

abc: 2.7849 4.0472 7.9328
angles: 90.00 97.28 90.00
Closest atoms and distances in Å follow each position.
Element x y z (fractional)
K  0.5000  0.5000  0.0000  2 K 2.78
Tc  0.0000  0.5000  0.5000  8 W 2.58-2.88, 2 Tc 2.78
W  0.6567  0.0000  0.6479  1 W 2.40, 2 Tc 2.58
W  0.3433  0.0000  0.3521  1 W 2.40, 2 Tc 2.58

Calculated values
- VASP energy (eV per cell) = -178.97
- DFT formation energy (eV/atom) = 0.95
- calculated density (g cm⁻³) = 9.5
- space-group type = P2/m

***

No. 12
Computed, not measured: a crystal of SnTe4Pb3 relaxed with PBEsol at the SCAN level of DFT.

abc: 4.5226 4.5226 12.7881
angles: 90.00 90.00 90.00
Closest atoms and distances in Å follow each position.
Element x y z (fractional)
Sn  0.0000  0.0000  0.0000  6 Te 3.15-3.20
Te  0.0000  0.0000  0.2466  1 Sn 3.15, 5 Pb 3.20-3.24
Te  0.5000  0.5000  0.0000  2 Pb 3.19, 4 Sn 3.20
Te  0.0000  0.0000  0.7534  1 Sn 3.15, 5 Pb 3.20-3.24
Te  0.5000  0.5000  0.5000  6 Pb 3.20-3.21
Pb  0.5000  0.5000  0.7507  6 Te 3.19-3.21
Pb  0.0000  0.0000  0.5000  6 Te 3.20-3.24
Pb  0.5000  0.5000  0.2493  6 Te 3.19-3.21

Calculated values
- VASP energy (eV per cell) = -414.95
- calculated density (g cm⁻³) = 7.9
- space-group type = P4/mmm